Record 1
# Ce4PmHo, relaxed, DFT PBE
data_Ce4PmHo
_chemical_formula_sum 'Ce4 Pm1 Ho1'
_cell_length_a 6.3354
_cell_length_b 6.3354
_cell_length_c 6.3354
_cell_angle_alpha 60.00
_cell_angle_beta 60.00
_cell_angle_gamma 60.00
_symmetry_space_group_name_H-M 'P 1'
_symmetry_Int_Tables_number 1
loop_
_symmetry_equiv_pos_as_xyz
'x,y,z'
loop_
_atom_site_label
_atom_site_fract_x
_atom_site_fract_y
_atom_site_fract_z
Ce1 0.6290 0.1131 0.6290
Ce2 0.1131 0.6290 0.6290
Ce3 0.6290 0.6290 0.1131
Ho1 0.0000 0.0000 0.0000
Ce4 0.6290 0.6290 0.6290
Pm1 0.2500 0.2500 0.2500
# ΔE_f ... 0.21 eV/atom
# D(E_F) ... 18.56 states/eV/cell
# Raw total energy ... -5.305 eV per atom

---

Record 2
# CePm6Ho12, relaxed, DFT PBE
data_CePm6Ho12
_chemical_formula_sum 'Ce1 Pm6 Ho12'
_cell_length_a 8.7079
_cell_length_b 8.7079
_cell_length_c 8.7079
_cell_angle_alpha 99.01
_cell_angle_beta 99.01
_cell_angle_gamma 99.01
_symmetry_space_group_name_H-M 'P 1'
_symmetry_Int_Tables_number 1
loop_
_symmetry_equiv_pos_as_xyz
'x,y,z'
loop_
_atom_site_label
_atom_site_fract_x
_atom_site_fract_y
_atom_site_fract_z
Ho1 0.0797 0.3528 0.3528
Ho2 0.9203 0.6472 0.6472
Pm1 0.0990 0.6584 0.0990
Pm2 0.3416 0.9010 0.9010
Ho3 0.6472 0.6472 0.9203
Ce1 0.0000 0.0000 0.0000
Ho4 0.3528 0.0797 0.3528
Pm3 0.6584 0.0990 0.0990
Ho5 0.2437 0.5000 0.7563
Ho6 0.7563 0.5000 0.2437
Pm4 0.9010 0.9010 0.3416
Ho7 0.6472 0.9203 0.6472
Ho8 0.7563 0.2437 0.5000
Pm5 0.0990 0.0990 0.6584
Ho9 0.2437 0.7563 0.5000
Ho10 0.5000 0.2437 0.7563
Ho11 0.3528 0.3528 0.0797
Ho12 0.5000 0.7563 0.2437
Pm6 0.9010 0.3416 0.9010
# ΔE_f ... 0.22 eV/atom
# D(E_F) ... 31.76 states/eV/cell
# Raw total energy ... -4.489 eV per atom

---

Record 3
# CePmHo3, relaxed, DFT PBE
data_CePmHo3
_chemical_formula_sum 'Ce2 Pm2 Ho6'
_cell_length_a 6.2645
_cell_length_b 9.5403
_cell_length_c 8.4087
_cell_angle_alpha 136.61
_cell_angle_beta 68.21
_cell_angle_gamma 109.39
_symmetry_space_group_name_H-M 'P 1'
_symmetry_Int_Tables_number 1
loop_
_symmetry_equiv_pos_as_xyz
'x,y,z'
loop_
_atom_site_label
_atom_site_fract_x
_atom_site_fract_y
_atom_site_fract_z
Ho1 0.2112 0.3439 0.2449
Ho2 0.7888 0.6561 0.7551
Ce1 0.9849 0.0496 0.7368
Pm1 0.6175 0.1547 0.2548
Ho3 0.1764 0.4513 0.7516
Ho4 0.5851 0.2538 0.7542
Ho5 0.4149 0.7462 0.2458
Ce2 0.0151 0.9504 0.2632
Pm2 0.3825 0.8453 0.7452
Ho6 0.8236 0.5487 0.2484
# ΔE_f ... 0.06 eV/atom
# E above lowest polymorph ... 0.03 eV per formula unit
# D(E_F) ... 21.59 states/eV/cell
# Raw total energy ... -4.824 eV per atom

---

Record 4
# CePmHo6, relaxed, DFT PBE
data_CePmHo6
_chemical_formula_sum 'Ce1 Pm1 Ho6'
_cell_length_a 5.0050
_cell_length_b 5.0050
_cell_length_c 9.9956
_cell_angle_alpha 90.00
_cell_angle_beta 90.00
_cell_angle_gamma 90.00
_symmetry_space_group_name_H-M 'P 1'
_symmetry_Int_Tables_number 1
loop_
_symmetry_equiv_pos_as_xyz
'x,y,z'
loop_
_atom_site_label
_atom_site_fract_x
_atom_site_fract_y
_atom_site_fract_z
Ce1 0.0000 0.0000 0.5000
Pm1 0.0000 0.0000 0.0000
Ho1 0.0000 0.5000 0.2530
Ho2 0.5000 0.0000 0.7470
Ho3 0.5000 0.5000 0.5000
Ho4 0.0000 0.5000 0.7470
Ho5 0.5000 0.0000 0.2530
Ho6 0.5000 0.5000 0.0000
# ΔE_f ... 0.04 eV/atom
# E above lowest polymorph ... 0.00 eV per formula unit
# D(E_F) ... 11.82 states/eV/cell
# Raw total energy ... -4.726 eV per atom